A plane-wave DFT calculation with PBE+U was carried out for an optimized crystal structure of WS2O9.

POSCAR file:
```
WS2O9
1.0
-7.718 -0.840 1.231
1.310 -0.655 -7.928
1.564 -12.484 1.290
S O W
8 36 4
Direct
0.833 0.136 0.026 S
0.578 0.611 0.185 S
0.422 0.389 0.815 S
0.167 0.864 0.974 S
0.667 0.364 0.526 S
0.333 0.636 0.474 S
0.922 0.889 0.685 S
0.078 0.111 0.315 S
0.186 0.927 0.091 O
0.777 0.764 0.753 O
0.314 0.573 0.591 O
0.081 0.843 0.671 O
0.476 0.233 0.512 O
0.506 0.102 0.307 O
0.192 0.119 0.415 O
0.654 0.508 0.595 O
0.277 0.264 0.747 O
0.419 0.657 0.171 O
0.994 0.398 0.807 O
0.976 0.733 0.988 O
0.006 0.602 0.193 O
0.494 0.898 0.693 O
0.024 0.267 0.012 O
0.798 0.286 0.559 O
0.953 0.072 0.727 O
0.308 0.381 0.915 O
0.154 0.008 0.905 O
0.581 0.343 0.829 O
0.692 0.619 0.085 O
0.346 0.492 0.405 O
0.846 0.992 0.095 O
0.547 0.428 0.227 O
0.202 0.714 0.441 O
0.808 0.881 0.585 O
0.524 0.767 0.488 O
0.047 0.928 0.273 O
0.919 0.157 0.329 O
0.723 0.736 0.253 O
0.298 0.786 0.941 O
0.702 0.214 0.059 O
0.223 0.236 0.247 O
0.686 0.427 0.409 O
0.814 0.073 0.909 O
0.453 0.572 0.773 O
0.939 0.772 0.147 W
0.061 0.228 0.853 W
0.561 0.728 0.647 W
0.439 0.272 0.353 W
```

Summary:
Electronic total energy (eV/atom): -6.40
SG: P2_1/c (14)